Compound: CaMn2Pt
Source: Alexandria via LeMat-Bulk
Functional: PBE
Structure: relaxed

a = 3.3320 Å, b = 4.7262 Å, c = 9.6561 Å
α = 90.00°, β = 90.00°, γ = 90.00°
Space group Immm (No. 71)
Asymmetric unit:
Ca 0.0000 0.0000 0.0000 [2 per cell]
Mn 0.0000 0.5000 0.2163 [4 per cell]
Pt 0.0000 0.0000 0.5000 [2 per cell]

Properties
DFT total energy in Ha/atom: -0.2422
Calculated formation energy in eV per atom: 0.006